Density functional theory data (PBE) for a relaxed YMn2Tl crystal.

Summary:
size of the total moment = 1.691 μB per atom
energy of formation = 0.292 eV per atom

```
data_YMn2Tl
_chemical_formula_sum 'Y4 Mn8 Tl4'
_cell_length_a 6.8239
_cell_length_b 6.8239
_cell_length_c 6.8239
_cell_angle_alpha 90.00
_cell_angle_beta 90.00
_cell_angle_gamma 90.00
_space_group_name_H-M_alt 'F m -3 m'
_space_group_IT_number 225
_space_group_name_Hall '-F 4 2 3'
loop_
_atom_site_label
_atom_site_type_symbol
_atom_site_fract_x
_atom_site_fract_y
_atom_site_fract_z
_atom_site_occupancy
Y1 Y 0.0000 0.0000 0.0000 1
Mn1 Mn 0.2500 0.2500 0.2500 1
Tl1 Tl 0.0000 0.0000 0.5000 1
```